## ReS2 (GGA-PBE)

Data for ReS2 after structural relaxation.

Summary:
Theoretical density   8.7 Mg/m³
V   15.9 Å³/atom
Electronic total energy   -20.6 eV per cell
SG   No. 225

a b c (Å): 4.068 4.068 4.068
angles (deg): 60.00 60.00 60.00
Fractional positions:
Re1 0.000 0.000 0.000
S1 0.250 0.250 0.250
S2 0.750 0.750 0.750